1.
4
Lattice="3.233 0.000 0.000 0.000 3.925 0.000 0.000 0.000 6.828" Properties=species:S:1:pos:R:3 comment="Sc2TaTl (GGA-PBE, relaxed)" e_above_lowest_polymorph_mev_per_atom=55 spacegroup="Pmmm, No. 47" e_form_mev_per_atom=20 magnetic_moment_mub_per_cell=0.00 n_ef_per_ev_fu=5.591 pbc="T T T"
Ta 1.616 1.963 1.707
Tl 1.616 1.963 5.121
Sc 0.000 0.000 0.104
Sc 0.000 0.000 3.310

2.
4
Lattice="10.241 0.005 0.003 9.776 3.053 0.003 9.776 1.493 2.663" Properties=species:S:1:pos:R:3 comment="ScTa2Tl (GGA-PBE, relaxed)" e_above_lowest_polymorph_mev_per_atom=309 spacegroup="R-3m, No. 166" e_form_mev_per_atom=393 magnetic_moment_mub_per_cell=0.00 n_ef_per_ev_fu=3.805 pbc="T T T"
Ta 0.005 0.001 0.000
Ta 14.891 2.274 1.333
Sc 22.345 3.413 2.001
Tl 7.448 1.138 0.667